[1]
Density functional theory data (PBE-GGA) for an optimized crystal structure of LaTeO4F.

Space group: C2/m
E: -6.380 eV/atom
Uncorrected formation energy: -2.13 eV per atom

Cell lengths 6.2704, 6.2704, 7.3187 Å; angles 103.02, 103.02, 75.98 degrees
Positions (direct):
La 0.2047 0.2047 0.1197
La 0.7953 0.7953 0.8803
Te 0.3488 0.3488 0.7173
Te 0.6512 0.6512 0.2827
O 0.1219 0.4834 0.8554
O 0.2398 0.2398 0.4695
O 0.4620 0.4620 0.2584
O 0.4834 0.1219 0.8554
O 0.5166 0.8781 0.1446
O 0.5380 0.5380 0.7416
O 0.7602 0.7602 0.5305
O 0.8781 0.5166 0.1446
F 0.0216 0.0216 0.8336
F 0.9784 0.9784 0.1664


[2]
Density functional theory data (PBE-GGA) for an optimized crystal structure of CsTl2Pt.

Space group: R-3m
E: -3.031 eV/atom

Cell lengths 8.4253, 8.4253, 8.4253 Å; angles 30.90, 30.90, 30.90 degrees
Positions (direct):
Cs 0.0000 0.0000 0.0000
Tl 0.2167 0.2167 0.2167
Tl 0.7833 0.7833 0.7833
Pt 0.5000 0.5000 0.5000


[3]
Density functional theory data (PBE-GGA) for an optimized crystal structure of Cs2TlH.

Space group: I-42d
E: -1.758 eV/atom
Distance to the lowest polymorph of the same formula: 0.073 eV per atom

Cell lengths 7.9098, 7.9098, 7.9098 Å; angles 110.53, 110.53, 107.37 degrees
Positions (direct):
Cs 0.0210 0.1250 0.3960
Cs 0.3750 0.9790 0.1040
Cs 0.7290 0.6250 0.6040
Cs 0.8750 0.2710 0.8960
Tl 0.2500 0.7500 0.5000
Tl 0.5000 0.5000 0.0000
H 0.0000 0.0000 0.0000
H 0.7500 0.2500 0.5000